# 1
Entry from Alexandria: a geometry-optimized PbAu5 structure (PBE).

Properties
Space group: F-43m
N(E_F): 0.34 states/eV/atom
Calculated formation energy: 1.1 kcal/mol of atoms
Energy: -19.822 eV per cell

Structure (extended XYZ):
```
6
Lattice="5.611 0.000 0.000 2.805 4.859 0.000 2.805 1.620 4.581" Properties=species:S:1:pos:R:3 pbc="T T T"
Au 5.611 4.853 1.720
Au 7.008 2.432 1.720
Au 8.416 4.859 3.436
Au 5.611 3.239 4.002
Au 4.213 2.432 1.720
Pb 0.000 0.000 0.000
```

# 2
Entry from Alexandria: a geometry-optimized Pb3Au structure (PBE).

Properties
Space group: Pmm2
N(E_F): 0.57 states/eV/atom
Calculated formation energy: 1.4 kcal/mol of atoms
Energy: -14.168 eV per cell

Structure (extended XYZ):
```
4
Lattice="-3.121 -1.005 -1.533 2.480 -3.774 -2.576 -1.025 -3.796 4.574" Properties=species:S:1:pos:R:3 pbc="T T T"
Pb -2.088 -2.454 1.585
Pb -1.211 -5.687 1.919
Pb 0.907 -3.120 0.198
Au -0.983 -3.640 4.386
```

# 3
Entry from Alexandria: a geometry-optimized Pb4Au structure (PBE).

Properties
Space group: Fd-3m
N(E_F): 0.72 states/eV/atom
Calculated formation energy: 4.9 kcal/mol of atoms
Energy: -34.093 eV per cell

Structure (extended XYZ):
```
10
Lattice="7.811 0.000 0.000 3.906 6.765 0.000 3.906 2.255 6.378" Properties=species:S:1:pos:R:3 pbc="T T T"
Pb 2.248 1.298 0.918
Pb 3.906 2.255 3.625
Pb 6.153 5.467 3.866
Pb 9.469 5.467 3.866
Pb 7.811 4.510 1.158
Pb 7.811 2.595 3.866
Pb 3.906 4.169 0.918
Pb 5.564 1.298 0.918
Au 11.717 6.765 4.783
Au 0.000 0.000 0.000
```